A plane-wave DFT calculation with GGA-PBE was carried out for an optimized crystal structure of VPtPb2.

Properties
Energy above the lowest structure with this stoichiometry   0.00 kcal/mol of atoms
Energy of formation   0.3080 eV/atom

Lattice parameters (Å, degrees): 4.9320 4.9320 4.9320 60.00 60.00 60.00
Sites, in units of the cell vectors:
V 0.0000 0.0000 0.0000
Pt 0.5000 0.5000 0.5000
Pb 0.2500 0.2500 0.2500
Pb 0.7500 0.7500 0.7500